DFT (PBE-GGA) results for crystalline Zr2Sn2Au at its relaxed geometry.

**Formation energy from the elements**: -325 meV/atom
**M_tot**: 0.00 μB per formula unit
**Energy above the lowest structure with this stoichiometry**: 0 kJ/mol of formula units

Cell and atoms, written as CIF:
```
data_Zr2Sn2Au
_chemical_formula_sum 'Zr4 Sn4 Au2'
_cell_length_a 7.270
_cell_length_b 7.270
_cell_length_c 4.197
_cell_angle_alpha 90.00
_cell_angle_beta 90.00
_cell_angle_gamma 90.00
_space_group_name_H-M_alt 'P 4/m b m'
_space_group_IT_number 127
_space_group_name_Hall '-P 4 2ab'
loop_
_atom_site_label
_atom_site_fract_x
_atom_site_fract_y
_atom_site_fract_z
Zr1 0.172 0.328 0.000
Sn1 0.136 0.636 0.500
Au1 0.000 0.000 0.500
```